First-principles (PBE with a Hubbard U) data for a relaxed YPaV2O8 crystal, as listed in the Alexandria database.

Calculated values
Total magnetic moment   0.167 μB per atom
Raw total energy   -103.782 eV per cell
Crystal system   tetragonal

Structure (POSCAR):
```
YPaV2O8
1.0
-4.926 -2.161 2.687
5.148 -1.936 2.431
-0.118 5.983 0.591
Y Pa V O
1 1 2 8
Cartesian
2.570 0.999 2.790 Y
0.000 0.000 0.000 Pa
-2.467 0.887 2.919 V
0.111 -2.049 2.559 V
-1.554 0.923 1.351 O
0.974 -0.521 2.106 O
-0.957 4.004 1.608 O
-3.462 2.368 2.591 O
-0.755 -2.158 4.148 O
-3.377 -0.637 3.295 O
-1.475 0.893 4.438 O
0.945 2.447 3.557 O
```